The following is a DFT calculation (PBE-GGA) of crystalline KZr2BeI at its relaxed geometry.

Computed properties:
Energy = -3.38 eV/atom

a = 5.336 Å, b = 5.336 Å, c = 5.942 Å
α = 90.00°, β = 90.00°, γ = 90.00°
Space group P4/mmm (No. 123)
Symmetry-distinct sites (fractional):
K: 0.000 0.000 0.000
Zr: 0.000 0.500 0.500
Be: 0.500 0.500 0.000
I: 0.000 0.000 0.500

The following is a DFT calculation (PBE-GGA) of crystalline ReAgHg2 at its relaxed geometry.

Computed properties:
Offset from the most stable computed form = 0.372 eV per atom

a = 4.195 Å, b = 4.195 Å, c = 8.648 Å
α = 90.00°, β = 90.00°, γ = 90.00°
Space group I-4m2 (No. 119)
Symmetry-distinct sites (fractional):
Re: 0.000 0.000 0.000
Ag: 0.000 0.500 0.750
Hg: 0.000 0.000 0.500
Hg: 0.000 0.500 0.250

The following is a DFT calculation (PBE-GGA) of crystalline HoTlHg at its relaxed geometry.

Computed properties:
Offset from the most stable computed form = 0.038 eV per atom

a = 4.768 Å, b = 6.440 Å, c = 6.452 Å
α = 118.97°, β = 90.67°, γ = 111.57°
Space group P-1 (No. 2)
Symmetry-distinct sites (fractional):
Ho: 0.177 0.359 0.237
Tl: 0.495 0.998 0.244
Hg: 0.155 0.305 0.716